1.
# SCAN RbTl2S2, single point on PBEsol structure
data_RbTl2S2
_chemical_formula_sum 'Rb2 Tl4 S4'
_symmetry_space_group_name_H-M 'I 4/m m m'
_symmetry_Int_Tables_number 139
_symmetry_space_group_name_Hall '-I 4 2'
_cell_length_a 5.2802
_cell_length_b 5.2802
_cell_length_c 10.0242
_cell_angle_alpha 90.00
_cell_angle_beta 90.00
_cell_angle_gamma 90.00
loop_
_atom_site_label
_atom_site_fract_x
_atom_site_fract_y
_atom_site_fract_z
Rb1 0.0000 0.0000 0.0000
Tl1 0.0000 0.0000 0.3493
S1 0.0000 0.5000 0.2500
# energy relative to the elements, uncorrected	-272	kJ/mol of formula units
# total energy	-37.506	eV per atom
# DOS at the Fermi energy	0.232	states/eV/atom
# energy relative to the lowest polymorph listed for this composition	0.00	kcal/mol of atoms

2.
# SCAN RbTlS3, single point on PBEsol structure
data_RbTlS3
_chemical_formula_sum 'Rb1 Tl1 S3'
_symmetry_space_group_name_H-M 'P m -3 m'
_symmetry_Int_Tables_number 221
_symmetry_space_group_name_Hall '-P 4 2 3'
_cell_length_a 5.1651
_cell_length_b 5.1651
_cell_length_c 5.1651
_cell_angle_alpha 90.00
_cell_angle_beta 90.00
_cell_angle_gamma 90.00
loop_
_atom_site_label
_atom_site_fract_x
_atom_site_fract_y
_atom_site_fract_z
Rb1 0.0000 0.0000 0.0000
Tl1 0.5000 0.5000 0.5000
S1 0.0000 0.5000 0.5000
# energy relative to the elements, uncorrected	-8	kJ/mol of formula units
# total energy	-24.414	eV per atom
# DOS at the Fermi energy	1.146	states/eV/atom

3.
# SCAN RbTl2S2, single point on PBEsol structure
data_RbTl2S2
_chemical_formula_sum 'Rb2 Tl4 S4'
_symmetry_space_group_name_H-M 'I 4/m m m'
_symmetry_Int_Tables_number 139
_symmetry_space_group_name_Hall '-I 4 2'
_cell_length_a 4.5217
_cell_length_b 4.5217
_cell_length_c 13.5058
_cell_angle_alpha 90.00
_cell_angle_beta 90.00
_cell_angle_gamma 90.00
loop_
_atom_site_label
_atom_site_fract_x
_atom_site_fract_y
_atom_site_fract_z
Rb1 0.0000 0.0000 0.0000
Tl1 0.0000 0.5000 0.2500
S1 0.0000 0.0000 0.4216
# energy relative to the elements, uncorrected	-251	kJ/mol of formula units
# total energy	-37.462	eV per atom
# DOS at the Fermi energy	0.191	states/eV/atom
# energy relative to the lowest polymorph listed for this composition	1.01	kcal/mol of atoms